La2Pm3Ho6 | PBE | relaxed

a b c (Å): 6.2214 10.6258 11.7322
angles (deg): 90.00 98.73 90.00
Closest atoms and distances in Å follow each position.
Space group C2/m (No. 12)
Symmetry-distinct sites (fractional):
1 La 0.0000 0.1754 0.0000 [4 per cell]  3 La 3.49-3.73, 6 Ho 3.53-3.64
2 Pm 0.0000 0.0000 0.5000 [2 per cell]  6 Ho 3.53-3.56, 6 Pm 3.57
3 Pm 0.0000 0.3360 0.5000 [4 per cell]  6 Pm 3.49-3.61, 6 Ho 3.52-3.54
4 Ho 0.2402 0.5000 0.7500 [4 per cell]  6 Ho 3.54-3.59, 3 Pm 3.54-3.56, 2 La 3.64
5 Ho 0.2410 0.1668 0.7463 [8 per cell]  3 Pm 3.52-3.54, 2 La 3.53-3.58, 6 Ho 3.54-3.59

## Properties
- energy of formation from the pure elements (kcal/mol of atoms) = 4.19
- theoretical density (Mg/m³) = 7.4
- total moment (μB per formula unit) = 0.00
- relative energy among the computed polymorphs (meV per atom) = 0.0


La2Pm2Ho15 | PBE | relaxed

a b c (Å): 11.2874 11.2874 17.3939
angles (deg): 90.00 90.00 120.00
Closest atoms and distances in Å follow each position.
Space group R-3m (No. 166, hexagonal axes)
Symmetry-distinct sites (fractional):
1 La 0.0000 0.0000 0.1205 [6 per cell]  6 Ho 3.36-3.62, 1 Pm 3.74
2 Pm 0.0000 0.0000 0.3355 [6 per cell]  1 La 3.74, 9 Ho 3.93-3.94
3 Ho 0.0000 0.3047 0.0000 [18 per cell]  6 Ho 3.30-3.44
4 Ho 0.0000 0.5000 0.5000 [9 per cell]  2 La 3.36, 8 Ho 3.36-3.38
5 Ho 0.0140 0.5070 0.1406 [18 per cell]  6 Ho 3.25-3.36, 1 La 3.62

## Properties
- energy of formation from the pure elements (kcal/mol of atoms) = 6.33
- theoretical density (Mg/m³) = 7.9
- total moment (μB per formula unit) = 0.00


La3PmHo2 | PBE | relaxed

a b c (Å): 3.5030 6.0237 19.8344
angles (deg): 90.00 90.00 90.00
Closest atoms and distances in Å follow each position.
Space group Immm (No. 71)
Symmetry-distinct sites (fractional):
1 La 0.0000 0.0000 0.0000 [2 per cell]  2 Pm 3.01, 4 Ho 3.24
2 La 0.0000 0.5000 0.1888 [4 per cell]  5 Ho 3.45-3.63, 2 La 3.50, 1 Pm 3.75
3 Pm 0.0000 0.5000 0.0000 [2 per cell]  2 La 3.01
4 Ho 0.0000 0.5000 0.3627 [4 per cell]  3 La 3.24-3.45, 2 Ho 3.50

## Properties
- energy of formation from the pure elements (kcal/mol of atoms) = 6.92
- theoretical density (Mg/m³) = 7.1
- total moment (μB per formula unit) = 0.00
- relative energy among the computed polymorphs (meV per atom) = 280.2


La3Pm2Ho2 | PBE | relaxed

a b c (Å): 3.6652 6.3387 10.9226
angles (deg): 84.15 89.97 73.20
Closest atoms and distances in Å follow each position.
Space group P-1 (No. 2)
Symmetry-distinct sites (fractional):
1 La 0.0000 0.0000 0.0000 [1 per cell]  6 Pm 3.63-3.67, 4 Ho 3.64, 2 La 3.67
2 La 0.1446 0.7133 0.5710 [2 per cell]  5 Ho 3.64-3.68, 5 La 3.64-3.67, 2 Pm 3.65
3 Pm 0.2849 0.4310 0.1427 [2 per cell]  4 Pm 3.63-3.67, 5 La 3.63-3.67, 3 Ho 3.64-3.67
4 Ho 0.4278 0.1443 0.7152 [2 per cell]  7 La 3.64-3.68, 3 Pm 3.64-3.67, 2 Ho 3.67

## Properties
- energy of formation from the pure elements (kcal/mol of atoms) = 0.53
- theoretical density (Mg/m³) = 7.1
- total moment (μB per formula unit) = 0.00
- relative energy among the computed polymorphs (meV per atom) = 0.0


Q: Which formula does entry 1 have?
A: La2Pm3Ho6